Record 1
{"formula": "TlB2PdS", "functional": "GGA-PBEsol", "state": "relaxed", "lattice_angstrom": [[4.072, 0.000, 0.000], [0.000, 4.072, 0.000], [0.000, 0.000, 5.253]], "species": ["Tl", "B", "B", "Pd", "S"], "fractional_positions": [[0.000, 0.000, 0.000], [0.000, 0.500, 0.500], [0.500, 0.000, 0.500], [0.500, 0.500, 0.500], [0.500, 0.500, 0.000]], "spacegroup": "No. 123", "formation_energy_uncorrected_ev_per_atom": 0.845, "total_energy_ev_per_atom": -4.56}

=====

Record 2
{"formula": "LiFeTe3", "functional": "GGA-PBEsol", "state": "relaxed", "lattice_angstrom": [[4.952, 0.000, 0.000], [0.000, 4.952, 0.000], [0.000, 0.000, 4.952]], "species": ["Li", "Fe", "Te", "Te", "Te"], "fractional_positions": [[0.000, 0.000, 0.000], [0.500, 0.500, 0.500], [0.000, 0.000, 0.500], [0.000, 0.500, 0.000], [0.500, 0.000, 0.000]], "spacegroup": "No. 221", "formation_energy_uncorrected_ev_per_atom": 0.752, "total_energy_ev_per_atom": -3.55}

=====

Record 3
{"formula": "ReAgAs2", "functional": "GGA-PBEsol", "state": "relaxed", "lattice_angstrom": [[3.074, 0.000, 0.000], [0.000, 3.074, 0.000], [0.000, 0.000, 6.958]], "species": ["Re", "Ag", "As", "As"], "fractional_positions": [[0.000, 0.000, 0.000], [0.000, 0.000, 0.500], [0.500, 0.500, 0.214], [0.500, 0.500, 0.786]], "spacegroup": "No. 123", "total_energy_ev_per_atom": -6.56}

=====

Record 4
{"formula": "ReH2Cl", "functional": "GGA-PBEsol", "state": "relaxed", "lattice_angstrom": [[-2.509, 2.509, 3.237], [2.509, -2.509, 3.237], [2.509, 2.509, -3.237]], "species": ["Re", "Re", "H", "H", "H", "H", "Cl", "Cl"], "fractional_positions": [[0.000, 0.000, 0.000], [0.750, 0.250, 0.500], [0.046, 0.625, 0.921], [0.375, 0.296, 0.421], [0.704, 0.125, 0.079], [0.875, 0.954, 0.579], [0.250, 0.750, 0.500], [0.500, 0.500, 0.000]], "spacegroup": "No. 122", "total_energy_ev_per_atom": -4.77}

=====

Record 5
{"formula": "In2TcNi", "functional": "GGA-PBEsol", "state": "relaxed", "lattice_angstrom": [[4.363, -1.439, 0.000], [4.363, 1.439, 0.000], [-1.059, 0.000, 5.203]], "species": ["In", "In", "Tc", "Ni"], "fractional_positions": [[0.243, 0.243, 0.241], [0.757, 0.757, 0.759], [0.000, 0.000, 0.500], [0.500, 0.500, 0.000]], "spacegroup": "No. 12", "total_energy_ev_per_atom": -5.54}

=====

Record 6
{"formula": "SnHgCl2", "functional": "GGA-PBEsol", "state": "relaxed", "lattice_angstrom": [[1.720, 0.993, 9.515], [-1.720, 0.993, 9.515], [0.000, -1.986, 9.515]], "species": ["Sn", "Hg", "Cl", "Cl"], "fractional_positions": [[0.000, 0.000, 0.000], [0.500, 0.500, 0.500], [0.090, 0.090, 0.090], [0.910, 0.910, 0.910]], "relative_energy_ev_per_fu": 1.00, "spacegroup": "No. 166", "formation_energy_uncorrected_ev_per_atom": -0.330, "total_energy_ev_per_atom": -2.54}

=====

Record 7
{"formula": "MnCuSi2", "functional": "GGA-PBEsol", "state": "relaxed", "lattice_angstrom": [[2.909, 0.000, 0.000], [0.000, 2.909, 0.000], [0.000, 0.000, 5.339]], "species": ["Mn", "Cu", "Si", "Si"], "fractional_positions": [[0.000, 0.000, 0.000], [0.000, 0.000, 0.500], [0.500, 0.500, 0.239], [0.500, 0.500, 0.761]], "spacegroup": "No. 123", "formation_energy_uncorrected_ev_per_atom": -0.189, "total_energy_ev_per_atom": -6.59}

=====

Record 8
{"formula": "SbINO2", "functional": "GGA-PBEsol", "state": "relaxed", "lattice_angstrom": [[4.174, 0.000, 0.000], [0.000, 4.174, 0.000], [0.000, 0.000, 4.057]], "species": ["Sb", "I", "N", "O", "O"], "fractional_positions": [[0.000, 0.000, 0.000], [0.500, 0.500, 0.000], [0.500, 0.500, 0.500], [0.000, 0.500, 0.500], [0.500, 0.000, 0.500]], "spacegroup": "No. 123", "formation_energy_uncorrected_ev_per_atom": 1.008, "total_energy_ev_per_atom": -4.06}